Record 1
The following is a PBE calculation of a geometry-optimized ZrCo2Pt structure, from the Alexandria database.

Values from the calculation:
ΔE_f in eV/atom: -0.316

a = 2.9772 Å, b = 3.5619 Å, c = 5.6118 Å
α = 90.00°, β = 90.00°, γ = 90.00°
Atoms (fractional coordinates):
Zr1 0.0000 0.0000 0.0000
Co1 0.0000 0.0000 0.4551
Co2 0.5000 0.5000 0.2696
Pt1 0.5000 0.5000 0.7198

Record 2
The following is a PBE calculation of a geometry-optimized PuNi4Ge structure, from the Alexandria database.

Values from the calculation:
ΔE_f in eV/atom: -0.192
Excess energy over the best structure of this formula in the dataset in meV per atom: 28

a = 7.6868 Å, b = 7.6868 Å, c = 6.0836 Å
α = 90.00°, β = 90.00°, γ = 151.54°
Atoms (fractional coordinates):
Pu1 0.1058 0.8942 0.7500
Pu2 0.8942 0.1058 0.2500
Ni1 0.0746 0.9254 0.2500
Ni2 0.3335 0.6665 0.5556
Ni3 0.3335 0.6665 0.9444
Ni4 0.5000 0.5000 0.0000
Ni5 0.5000 0.5000 0.5000
Ni6 0.6665 0.3335 0.0556
Ni7 0.6665 0.3335 0.4444
Ni8 0.9254 0.0746 0.7500
Ge1 0.2348 0.7652 0.2500
Ge2 0.7652 0.2348 0.7500

Record 3
The following is a PBE calculation of a geometry-optimized KEu3 structure, from the Alexandria database.

Values from the calculation:
ΔE_f in eV/atom: 0.244
Excess energy over the best structure of this formula in the dataset in meV per atom: 44

a = 9.3299 Å, b = 9.3299 Å, c = 9.3299 Å
α = 90.00°, β = 90.00°, γ = 90.00°
Atoms (fractional coordinates):
K1 0.0000 0.0000 0.0000
K2 0.0000 0.5000 0.5000
K3 0.5000 0.0000 0.5000
K4 0.5000 0.5000 0.0000
Eu1 0.0000 0.0000 0.5000
Eu2 0.0000 0.5000 0.0000
Eu3 0.2500 0.2500 0.2500
Eu4 0.2500 0.2500 0.7500
Eu5 0.2500 0.7500 0.2500
Eu6 0.2500 0.7500 0.7500
Eu7 0.5000 0.0000 0.0000
Eu8 0.5000 0.5000 0.5000
Eu9 0.7500 0.2500 0.2500
Eu10 0.7500 0.2500 0.7500
Eu11 0.7500 0.7500 0.2500
Eu12 0.7500 0.7500 0.7500

Record 4
The following is a PBE calculation of a geometry-optimized CoHCS structure, from the Alexandria database.

Values from the calculation:
Excess energy over the best structure of this formula in the dataset in meV per atom: 91

a = 7.1531 Å, b = 3.4788 Å, c = 3.8394 Å
α = 90.00°, β = 113.07°, γ = 90.00°
Atoms (fractional coordinates):
Co1 0.0000 0.0000 0.0000
Co2 0.5000 0.5000 0.0000
H1 0.0855 0.0000 0.4669
H2 0.5855 0.5000 0.4669
C1 0.4249 0.5000 0.4832
C2 0.9249 0.0000 0.4832
S1 0.2109 0.5000 0.0810
S2 0.7109 0.0000 0.0810